(1)
Compound: Li2AsPd6
Source: Alexandria via LeMat-Bulk
Functional: PBE
Structure: optimized geometry

Raw total energy = -4.6947 eV/atom
Formation enthalpy at 0 K = -0.29 eV/atom
Energy above the most stable polymorph in this dataset = 0 meV per atom

CIF file:
```
data_Li2AsPd6
_chemical_formula_sum 'Li4 As2 Pd12'
_cell_length_a 5.877
_cell_length_b 5.680
_cell_length_c 8.591
_cell_angle_alpha 90.00
_cell_angle_beta 94.43
_cell_angle_gamma 90.00
_space_group_name_H-M_alt 'P 1 21/c 1'
_space_group_IT_number 14
loop_
_space_group_symop_operation_xyz
'x,y,z'
'-x,-y,-z'
'-x,y+1/2,-z+1/2'
'x,-y+1/2,z+1/2'
loop_
_atom_site_label
_atom_site_type_symbol
_atom_site_fract_x
_atom_site_fract_y
_atom_site_fract_z
Li1 Li 0.082 0.054 0.234
As1 As 0.500 0.000 0.500
Pd1 Pd 0.131 0.694 0.006
Pd2 Pd 0.290 0.132 0.965
Pd3 Pd 0.438 0.710 0.265
```

(2)
Compound: CdBRh3
Source: Alexandria via LeMat-Bulk
Functional: PBE
Structure: optimized geometry

Raw total energy = -5.2964 eV/atom
Formation enthalpy at 0 K = 0.63 eV/atom
Energy above the most stable polymorph in this dataset = 844 meV per atom

CIF file:
```
data_CdBRh3
_chemical_formula_sum 'Cd4 B4 Rh12'
_cell_length_a 5.076
_cell_length_b 14.057
_cell_length_c 5.062
_cell_angle_alpha 90.00
_cell_angle_beta 90.00
_cell_angle_gamma 90.00
_space_group_name_H-M_alt 'C m c m'
_space_group_IT_number 63
_space_group_name_Hall '-C 2c 2'
loop_
_atom_site_label
_atom_site_type_symbol
_atom_site_fract_x
_atom_site_fract_y
_atom_site_fract_z
Cd1 Cd 0.000 0.178 0.250
B1 B 0.000 0.457 0.250
Rh1 Rh 0.000 0.000 0.000
Rh2 Rh 0.247 0.146 0.750
```

(3)
Compound: La2YTmSe6
Source: Alexandria via LeMat-Bulk
Functional: PBE
Structure: optimized geometry

Raw total energy = -6.0869 eV/atom
Uncorrected formation energy = -1.917 eV/atom

CIF file:
```
data_La2YTmSe6
_chemical_formula_sum 'La6 Y3 Tm3 Se18'
_cell_length_a 7.4200
_cell_length_b 7.4200
_cell_length_c 19.3873
_cell_angle_alpha 90.00
_cell_angle_beta 90.00
_cell_angle_gamma 120.00
_space_group_name_H-M_alt 'R 3'
_space_group_IT_number 146
_space_group_name_Hall 'R 3'
loop_
_atom_site_label
_atom_site_type_symbol
_atom_site_fract_x
_atom_site_fract_y
_atom_site_fract_z
La1 La 0.0000 0.0000 0.0000
La2 La 0.0000 0.0000 0.4995
Y1 Y 0.0000 0.0000 0.2048
Tm1 Tm 0.0000 0.0000 0.7041
Se1 Se 0.0508 0.3514 0.7756
Se2 Se 0.0527 0.6960 0.2764
```

(4)
Compound: CdReHg2
Source: Alexandria via LeMat-Bulk
Functional: PBE
Structure: optimized geometry

Raw total energy = -2.6416 eV/atom
Formation enthalpy at 0 K = 0.85 eV/atom

CIF file:
```
data_CdReHg2
_chemical_formula_sum 'Cd2 Re2 Hg4'
_cell_length_a 4.121
_cell_length_b 4.121
_cell_length_c 9.279
_cell_angle_alpha 90.00
_cell_angle_beta 90.00
_cell_angle_gamma 90.00
_space_group_name_H-M_alt 'I -4 m 2'
_space_group_IT_number 119
_space_group_name_Hall 'I -4 -2'
loop_
_atom_site_label
_atom_site_type_symbol
_atom_site_fract_x
_atom_site_fract_y
_atom_site_fract_z
Cd1 Cd 0.000 0.000 0.000
Re1 Re 0.000 0.500 0.250
Hg1 Hg 0.000 0.000 0.500
Hg2 Hg 0.000 0.500 0.750
```

(5)
Compound: CaGdHgPd
Source: Alexandria via LeMat-Bulk
Functional: PBE
Structure: optimized geometry

Raw total energy = -5.9974 eV/atom
Formation enthalpy at 0 K = -0.60 eV/atom

CIF file:
```
data_CaGdHgPd
_chemical_formula_sum 'Ca4 Gd4 Hg4 Pd4'
_cell_length_a 7.290
_cell_length_b 7.290
_cell_length_c 7.290
_cell_angle_alpha 90.00
_cell_angle_beta 90.00
_cell_angle_gamma 90.00
_space_group_name_H-M_alt 'F -4 3 m'
_space_group_IT_number 216
_space_group_name_Hall 'F -4 2 3'
loop_
_atom_site_label
_atom_site_type_symbol
_atom_site_fract_x
_atom_site_fract_y
_atom_site_fract_z
Ca1 Ca 0.000 0.000 0.000
Gd1 Gd 0.000 0.000 0.500
Hg1 Hg 0.250 0.250 0.750
Pd1 Pd 0.250 0.250 0.250
```

(6)
Compound: La3TbTm2P6
Source: Alexandria via LeMat-Bulk
Functional: PBE
Structure: optimized geometry

Raw total energy = -6.6403 eV/atom
Formation enthalpy at 0 K = -1.57 eV/atom

CIF file:
```
data_La3TbTm2P6
_chemical_formula_sum 'La6 Tb2 Tm4 P12'
_cell_length_a 7.149
_cell_length_b 12.381
_cell_length_c 7.143
_cell_angle_alpha 90.00
_cell_angle_beta 109.48
_cell_angle_gamma 90.00
_space_group_name_H-M_alt 'C 1 2/m 1'
_space_group_IT_number 12
loop_
_space_group_symop_operation_xyz
'x,y,z'
'-x,-y,-z'
'-x,y,-z'
'x,-y,z'
'x+1/2,y+1/2,z'
'-x+1/2,-y+1/2,-z'
'-x+1/2,y+1/2,-z'
'x+1/2,-y+1/2,z'
loop_
_atom_site_label
_atom_site_type_symbol
_atom_site_fract_x
_atom_site_fract_y
_atom_site_fract_z
La1 La 0.000 0.000 0.000
La2 La 0.000 0.334 0.000
Tb1 Tb 0.000 0.500 0.500
Tm1 Tm 0.000 0.167 0.500
P1 P 0.242 0.000 0.734
P2 P 0.246 0.332 0.734
```

(7)
Compound: Mn3Os5
Source: Alexandria via LeMat-Bulk
Functional: PBE
Structure: optimized geometry

Raw total energy = -10.2392 eV/atom
Formation enthalpy at 0 K = 0.22 eV/atom

CIF file:
```
data_Mn3Os5
_chemical_formula_sum 'Mn12 Os20'
_cell_length_a 4.656
_cell_length_b 12.884
_cell_length_c 7.517
_cell_angle_alpha 90.00
_cell_angle_beta 104.32
_cell_angle_gamma 90.00
_space_group_name_H-M_alt 'C 1 2/m 1'
_space_group_IT_number 12
loop_
_space_group_symop_operation_xyz
'x,y,z'
'-x,-y,-z'
'-x,y,-z'
'x,-y,z'
'x+1/2,y+1/2,z'
'-x+1/2,-y+1/2,-z'
'-x+1/2,y+1/2,-z'
'x+1/2,-y+1/2,z'
loop_
_atom_site_label
_atom_site_type_symbol
_atom_site_fract_x
_atom_site_fract_y
_atom_site_fract_z
Mn1 Mn 0.000 0.168 0.000
Mn2 Mn 0.000 0.264 0.500
Mn3 Mn 0.165 0.500 0.370
Os1 Os 0.095 0.321 0.201
Os2 Os 0.138 0.107 0.334
Os3 Os 0.221 0.500 0.942
```

(8)
Compound: TaBe2Al
Source: Alexandria via LeMat-Bulk
Functional: PBE
Structure: optimized geometry

Raw total energy = -5.7228 eV/atom
Formation enthalpy at 0 K = 0.04 eV/atom

CIF file:
```
data_TaBe2Al
_chemical_formula_sum 'Ta2 Be4 Al2'
_cell_length_a 4.060
_cell_length_b 4.134
_cell_length_c 5.983
_cell_angle_alpha 90.00
_cell_angle_beta 90.00
_cell_angle_gamma 90.00
_space_group_name_H-M_alt 'C m m m'
_space_group_IT_number 65
_space_group_name_Hall '-C 2 2'
loop_
_atom_site_label
_atom_site_type_symbol
_atom_site_fract_x
_atom_site_fract_y
_atom_site_fract_z
Ta1 Ta 0.000 0.000 0.000
Be1 Be 0.000 0.500 0.281
Al1 Al 0.000 0.000 0.500
```

(9)
Compound: K2RbTlAu
Source: Alexandria via LeMat-Bulk
Functional: PBE
Structure: optimized geometry

Raw total energy = -1.8561 eV/atom
Formation enthalpy at 0 K = -0.09 eV/atom
Energy above the most stable polymorph in this dataset = 0 meV per atom

CIF file:
```
data_K2RbTlAu
_chemical_formula_sum 'K2 Rb1 Tl1 Au1'
_cell_length_a 6.433
_cell_length_b 6.433
_cell_length_c 5.878
_cell_angle_alpha 90.00
_cell_angle_beta 90.00
_cell_angle_gamma 90.00
_space_group_name_H-M_alt 'P 4/m m m'
_space_group_IT_number 123
_space_group_name_Hall '-P 4 2'
loop_
_atom_site_label
_atom_site_type_symbol
_atom_site_fract_x
_atom_site_fract_y
_atom_site_fract_z
K1 K 0.000 0.500 0.000
Rb1 Rb 0.000 0.000 0.500
Tl1 Tl 0.500 0.500 0.500
Au1 Au 0.500 0.500 0.000
```

(10)
Compound: HfTiCu
Source: Alexandria via LeMat-Bulk
Functional: PBE
Structure: optimized geometry

Raw total energy = -7.4398 eV/atom
Formation enthalpy at 0 K = -0.12 eV/atom
Energy above the most stable polymorph in this dataset = 0 meV per atom

CIF file:
```
data_HfTiCu
_chemical_formula_sum 'Hf2 Ti2 Cu2'
_cell_length_a 3.074
_cell_length_b 3.074
_cell_length_c 10.877
_cell_angle_alpha 90.00
_cell_angle_beta 90.00
_cell_angle_gamma 90.00
_space_group_name_H-M_alt 'I 4 m m'
_space_group_IT_number 107
_space_group_name_Hall 'I 4 -2'
loop_
_atom_site_label
_atom_site_type_symbol
_atom_site_fract_x
_atom_site_fract_y
_atom_site_fract_z
Hf1 Hf 0.000 0.000 0.000
Ti1 Ti 0.000 0.000 0.318
Cu1 Cu 0.000 0.000 0.673
```